# 1
First-principles (PBE) data for HfAu2C2 after structural relaxation, as listed in Alexandria.

For the formation energy, the calculation gives 633 kJ/mol of formula units. As for the excess energy over the best structure of this formula in the dataset: 0.00 eV per formula unit.

The space group is I4/mmm (No. 139) and the conventional cell measures 4.093, 4.093 and 8.547 Å, with angles of 90.00, 90.00 and 90.00 degrees. The asymmetric unit holds Hf at (0.000, 0.000, 0.000), Au at (0.000, 0.000, 0.345) and C at (0.000, 0.500, 0.250).

***

# 2
First-principles (PBE) data for Hf6AuC4 after structural relaxation, as listed in Alexandria.

For the formation energy, the calculation gives -893 kJ/mol of formula units.

The space group is Cmcm (No. 63) and the conventional cell measures 3.342, 11.149 and 17.593 Å, with angles of 90.00, 90.00 and 90.00 degrees. The asymmetric unit holds Hf at (0.000, 0.000, 0.000), Hf at (0.000, 0.145, 0.250), Hf at (0.000, 0.275, 0.577), Hf at (0.000, 0.463, 0.148), Au at (0.000, 0.162, 0.750), C at (0.000, 0.091, 0.121) and C at (0.000, 0.361, 0.039).

***

# 3
First-principles (PBE) data for Hf2AuC after structural relaxation, as listed in Alexandria.

For the formation energy, the calculation gives -277 kJ/mol of formula units.

The space group is R-3m (No. 166, hexagonal axes) and the conventional cell measures 3.2918, 3.2918 and 21.2694 Å, with angles of 90.00, 90.00 and 120.00 degrees. The asymmetric unit holds Hf at (0.0000, 0.0000, 0.2267), Au at (0.0000, 0.0000, 0.0000) and C at (0.0000, 0.0000, 0.5000).

***

# 4
First-principles (PBE) data for Hf6AuC after structural relaxation, as listed in Alexandria.

For the formation energy, the calculation gives -69 kJ/mol of formula units.

The space group is P-1 (No. 2) and the conventional cell measures 5.756, 5.788 and 5.985 Å, with angles of 90.76, 114.70 and 110.87 degrees. The asymmetric unit holds Hf at (0.088, 0.143, 0.277), Hf at (0.272, 0.706, 0.254), Hf at (0.283, 0.513, 0.737), Au at (0.500, 0.000, 0.000) and C at (0.500, 0.500, 0.500).

***

# 5
First-principles (PBE) data for Hf2AuC after structural relaxation, as listed in Alexandria.

For the formation energy, the calculation gives -94 kJ/mol of formula units.

The space group is I-42d (No. 122) and the conventional cell measures 6.450, 6.450 and 7.022 Å, with angles of 90.00, 90.00 and 90.00 degrees. The asymmetric unit holds Hf at (0.178, 0.250, 0.125), Au at (0.000, 0.000, 0.500) and C at (0.000, 0.000, 0.000).

***

# 6
First-principles (PBE) data for Hf2AuC after structural relaxation, as listed in Alexandria.

For the formation energy, the calculation gives -194 kJ/mol of formula units.

The space group is C2/m (No. 12) and the conventional cell measures 11.541, 3.491 and 7.009 Å, with angles of 90.00, 97.46 and 90.00 degrees. The asymmetric unit holds Hf at (0.004, 0.000, 0.278), Hf at (0.225, 0.500, 0.676), Au at (0.133, 0.500, 0.043) and C at (0.136, 0.000, 0.528).